Entry 1:
# BaMnTl2 (GGA-PBE, relaxed)
data_BaMnTl2
_chemical_formula_sum 'Ba2 Mn2 Tl4'
_cell_length_a 4.581
_cell_length_b 5.842
_cell_length_c 9.232
_cell_angle_alpha 90.00
_cell_angle_beta 90.00
_cell_angle_gamma 90.00
_space_group_name_H-M_alt 'I m m m'
_space_group_IT_number 71
_space_group_name_Hall '-I 2 2'
loop_
_atom_site_label
_atom_site_fract_x
_atom_site_fract_y
_atom_site_fract_z
Ba1 0.000 0.000 0.000
Mn1 0.000 0.000 0.500
Tl1 0.000 0.500 0.213
# - D(E_F) (states/eV/atom) = 0.767

Entry 2:
# BaMnTl (GGA-PBE, relaxed)
data_BaMnTl
_chemical_formula_sum 'Ba2 Mn2 Tl2'
_cell_length_a 4.026
_cell_length_b 5.232
_cell_length_c 8.814
_cell_angle_alpha 80.08
_cell_angle_beta 89.86
_cell_angle_gamma 89.99
_space_group_name_H-M_alt 'P -1'
_space_group_IT_number 2
loop_
_space_group_symop_operation_xyz
'x,y,z'
'-x,-y,-z'
loop_
_atom_site_label
_atom_site_fract_x
_atom_site_fract_y
_atom_site_fract_z
Ba1 0.248 0.288 0.318
Mn1 0.250 0.590 0.982
Tl1 0.251 0.141 0.857
# - D(E_F) (states/eV/atom) = 1.061

Number 1: volume 30.885 Å³ per atom, ΔH_f (0 K) 15.6 kJ/mol of atoms. Number 2: volume 30.482 Å³ per atom, ΔH_f (0 K) 23.3 kJ/mol of atoms.